1.
VASP calculation (PBE) on La2ZnCd after structural relaxation. Values from VASP.

Output
The calculation puts the energy above the most stable polymorph in this dataset at 6.1 kJ/mol of atoms. The space group is Cm. The calculated total energy is -13.11 eV for the cell shown.

Structure (Quantum ESPRESSO input):
```
&SYSTEM
  ibrav = 0, nat = 4, ntyp = 3
/
ATOMIC_SPECIES
La 138.91 La.upf
Zn 65.41 Zn.upf
Cd 112.41 Cd.upf
ATOMIC_POSITIONS crystal
La 0.000 0.000 0.000
La 0.219 0.219 0.719
Zn 0.751 0.751 0.251
Cd 0.439 0.439 0.439
CELL_PARAMETERS angstrom
6.124 -1.876 0.000
6.124 1.876 0.000
-2.331 0.000 4.821
```

2.
VASP calculation (PBE) on La3Zn9Cd2 after structural relaxation. Values from VASP.

Output
The space group is Immm. The calculated total energy is -32.63 eV for the cell shown.

Structure (Quantum ESPRESSO input):
```
&SYSTEM
  ibrav = 0, nat = 14, ntyp = 3
/
ATOMIC_SPECIES
La 138.91 La.upf
Zn 65.41 Zn.upf
Cd 112.41 Cd.upf
ATOMIC_POSITIONS crystal
La 0.000 0.000 0.000
La 0.294 0.294 0.000
La 0.706 0.706 0.000
Zn 0.023 0.663 0.360
Zn 0.136 0.857 0.280
Zn 0.302 0.663 0.640
Zn 0.423 0.143 0.280
Zn 0.500 0.000 0.500
Zn 0.577 0.857 0.720
Zn 0.698 0.337 0.360
Zn 0.864 0.143 0.720
Zn 0.977 0.337 0.640
Cd 0.312 0.500 0.812
Cd 0.688 0.500 0.188
CELL_PARAMETERS angstrom
-2.309 4.509 6.977
2.309 -4.509 6.977
2.309 4.509 -6.977
```

3.
VASP calculation (PBE) on La2Zn3Cd6 after structural relaxation. Values from VASP.

Output
The space group is P-62m. The calculated total energy is -21.77 eV for the cell shown.

Structure (Quantum ESPRESSO input):
```
&SYSTEM
  ibrav = 0, nat = 11, ntyp = 3
/
ATOMIC_SPECIES
La 138.91 La.upf
Zn 65.41 Zn.upf
Cd 112.41 Cd.upf
ATOMIC_POSITIONS crystal
La 0.333 0.667 0.000
La 0.667 0.333 0.000
Zn 0.000 0.385 0.500
Zn 0.385 0.000 0.500
Zn 0.615 0.615 0.500
Cd 0.000 0.205 0.000
Cd 0.000 0.707 0.500
Cd 0.205 0.000 0.000
Cd 0.293 0.293 0.500
Cd 0.707 0.000 0.500
Cd 0.795 0.795 0.000
CELL_PARAMETERS angstrom
8.210 0.000 0.000
-4.105 7.110 0.000
0.000 0.000 4.506
```

4.
VASP calculation (PBE) on LaZnCd2 after structural relaxation. Values from VASP.

Output
The space group is P2/m. The calculated total energy is -8.72 eV for the cell shown.

Structure (Quantum ESPRESSO input):
```
&SYSTEM
  ibrav = 0, nat = 4, ntyp = 3
/
ATOMIC_SPECIES
La 138.91 La.upf
Zn 65.41 Zn.upf
Cd 112.41 Cd.upf
ATOMIC_POSITIONS crystal
La 0.000 0.000 0.000
Zn 0.500 0.000 0.500
Cd 0.400 0.500 0.726
Cd 0.600 0.500 0.274
CELL_PARAMETERS angstrom
3.397 0.000 0.000
0.000 4.844 0.000
-0.972 0.000 6.073
```

5.
VASP calculation (PBE) on LaZn2Cd after structural relaxation. Values from VASP.

Output
The space group is Pm. The calculated total energy is -9.19 eV for the cell shown.

Structure (Quantum ESPRESSO input):
```
&SYSTEM
  ibrav = 0, nat = 4, ntyp = 3
/
ATOMIC_SPECIES
La 138.91 La.upf
Zn 65.41 Zn.upf
Cd 112.41 Cd.upf
ATOMIC_POSITIONS crystal
La 0.000 0.000 0.000
Zn 0.600 0.500 0.204
Zn 0.707 0.000 0.437
Cd 0.300 0.500 0.607
CELL_PARAMETERS angstrom
3.854 0.000 0.000
0.000 4.502 0.000
-1.860 0.000 5.435
```

6.
VASP calculation (PBE) on LaZn2Cd6 after structural relaxation. Values from VASP.

Output
The space group is P4/mmm. The calculated total energy is -14.62 eV for the cell shown.

Structure (Quantum ESPRESSO input):
```
&SYSTEM
  ibrav = 0, nat = 9, ntyp = 3
/
ATOMIC_SPECIES
La 138.91 La.upf
Zn 65.41 Zn.upf
Cd 112.41 Cd.upf
ATOMIC_POSITIONS crystal
La 0.000 0.000 0.000
Zn 0.500 0.500 0.120
Zn 0.500 0.500 0.880
Cd 0.000 0.000 0.500
Cd 0.000 0.500 0.281
Cd 0.000 0.500 0.719
Cd 0.500 0.000 0.281
Cd 0.500 0.000 0.719
Cd 0.500 0.500 0.500
CELL_PARAMETERS angstrom
4.446 0.000 0.000
0.000 4.446 0.000
0.000 0.000 10.156
```

7.
VASP calculation (PBE) on LaZn2Cd after structural relaxation. Values from VASP.

Output
The space group is I-42d. The calculated total energy is -17.11 eV for the cell shown.

Structure (Quantum ESPRESSO input):
```
&SYSTEM
  ibrav = 0, nat = 8, ntyp = 3
/
ATOMIC_SPECIES
La 138.91 La.upf
Zn 65.41 Zn.upf
Cd 112.41 Cd.upf
ATOMIC_POSITIONS crystal
La 0.000 0.000 0.000
La 0.750 0.250 0.500
Zn 0.274 0.625 0.149
Zn 0.375 0.524 0.649
Zn 0.476 0.125 0.851
Zn 0.875 0.726 0.351
Cd 0.250 0.750 0.500
Cd 0.500 0.500 0.000
CELL_PARAMETERS angstrom
-2.387 2.387 9.257
2.387 -2.387 9.257
2.387 2.387 -9.257
```

8.
VASP calculation (PBE) on La2ZnCd5 after structural relaxation. Values from VASP.

Output
The space group is Cmcm. The calculated total energy is -35.84 eV for the cell shown.

Structure (Quantum ESPRESSO input):
```
&SYSTEM
  ibrav = 0, nat = 16, ntyp = 3
/
ATOMIC_SPECIES
La 138.91 La.upf
Zn 65.41 Zn.upf
Cd 112.41 Cd.upf
ATOMIC_POSITIONS crystal
La 0.000 0.000 0.000
La 0.000 0.000 0.500
La 0.200 0.800 0.750
La 0.800 0.200 0.250
Zn 0.446 0.554 0.250
Zn 0.554 0.446 0.750
Cd 0.189 0.811 0.104
Cd 0.189 0.811 0.396
Cd 0.357 0.643 0.033
Cd 0.357 0.643 0.467
Cd 0.404 0.596 0.750
Cd 0.596 0.404 0.250
Cd 0.643 0.357 0.533
Cd 0.643 0.357 0.967
Cd 0.811 0.189 0.604
Cd 0.811 0.189 0.896
CELL_PARAMETERS angstrom
2.406 -8.826 0.000
2.406 8.826 0.000
0.000 0.000 9.826
```

9.
VASP calculation (PBE) on La2ZnCd after structural relaxation. Values from VASP.

Output
The calculation puts the energy above the most stable polymorph in this dataset at 19.8 kJ/mol of atoms. The space group is P4mm. The calculated total energy is -12.54 eV for the cell shown.

Structure (Quantum ESPRESSO input):
```
&SYSTEM
  ibrav = 0, nat = 4, ntyp = 3
/
ATOMIC_SPECIES
La 138.91 La.upf
Zn 65.41 Zn.upf
Cd 112.41 Cd.upf
ATOMIC_POSITIONS crystal
La 0.000 0.000 0.000
La 0.500 0.500 0.322
Zn 0.000 0.000 0.546
Cd 0.500 0.500 0.754
CELL_PARAMETERS angstrom
3.926 0.000 0.000
0.000 3.926 0.000
0.000 0.000 7.522
```

10.
VASP calculation (PBE) on LaZnCd2 after structural relaxation. Values from VASP.

Output
The space group is Pmmm. The calculated total energy is -8.79 eV for the cell shown.

Structure (Quantum ESPRESSO input):
```
&SYSTEM
  ibrav = 0, nat = 4, ntyp = 3
/
ATOMIC_SPECIES
La 138.91 La.upf
Zn 65.41 Zn.upf
Cd 112.41 Cd.upf
ATOMIC_POSITIONS crystal
La 0.000 0.000 0.000
Zn 0.500 0.500 0.000
Cd 0.000 0.500 0.500
Cd 0.500 0.000 0.500
CELL_PARAMETERS angstrom
4.467 0.000 0.000
0.000 4.564 0.000
0.000 0.000 5.021
```

11.
VASP calculation (PBE) on La2ZnCd after structural relaxation. Values from VASP.

Output
The calculation puts the energy above the most stable polymorph in this dataset at 33.8 kJ/mol of atoms. The space group is I-42d. The calculated total energy is -23.92 eV for the cell shown.

Structure (Quantum ESPRESSO input):
```
&SYSTEM
  ibrav = 0, nat = 8, ntyp = 3
/
ATOMIC_SPECIES
La 138.91 La.upf
Zn 65.41 Zn.upf
Cd 112.41 Cd.upf
ATOMIC_POSITIONS crystal
La 0.087 0.625 0.962
La 0.375 0.337 0.462
La 0.663 0.125 0.038
La 0.875 0.913 0.538
Zn 0.000 0.000 0.000
Zn 0.750 0.250 0.500
Cd 0.250 0.750 0.500
Cd 0.500 0.500 0.000
CELL_PARAMETERS angstrom
-4.322 4.322 3.237
4.322 -4.322 3.237
4.322 4.322 -3.237
```

12.
VASP calculation (PBE) on LaZnCd2 after structural relaxation. Values from VASP.

Output
The space group is P4/mmm. The calculated total energy is -8.62 eV for the cell shown.

Structure (Quantum ESPRESSO input):
```
&SYSTEM
  ibrav = 0, nat = 4, ntyp = 3
/
ATOMIC_SPECIES
La 138.91 La.upf
Zn 65.41 Zn.upf
Cd 112.41 Cd.upf
ATOMIC_POSITIONS crystal
La 0.000 0.000 0.000
Zn 0.000 0.000 0.500
Cd 0.500 0.500 0.296
Cd 0.500 0.500 0.704
CELL_PARAMETERS angstrom
3.543 0.000 0.000
0.000 3.543 0.000
0.000 0.000 7.722
```

Number 7 is which compound?
LaZn2Cd